Entry one
Entry from the Alexandria database: a relaxed structure of Tb3Nd4Er4 (PBE-GGA).

Unit cell a=3.590 b=5.058 c=19.966 alpha=97.26 beta=95.16 gamma=90.03
Fractional positions:
1 Tb 0.636 0.636 0.273
2 Tb 0.364 0.364 0.727
3 Tb 0.000 0.000 0.000
4 Nd 0.546 0.545 0.092
5 Nd 0.454 0.454 0.908
6 Nd 0.818 0.818 0.635
7 Nd 0.182 0.182 0.365
8 Er 0.092 0.091 0.183
9 Er 0.272 0.272 0.544
10 Er 0.728 0.728 0.456
11 Er 0.908 0.909 0.817

Output
Its density is 7.99 g/cm3. The density of states at the Fermi level comes out at 14.0 states/eV/cell. Its space group is C2/m, No. 12.


Entry two
Entry from the Alexandria database: a relaxed structure of Tb3Nd4Er4 (PBE-GGA).

Unit cell a=5.690 b=6.661 c=10.660 alpha=90.00 beta=90.00 gamma=115.29
Fractional positions:
1 Tb 0.411 0.822 0.288
2 Tb 0.411 0.822 0.712
3 Tb 0.254 0.508 0.000
4 Nd 0.755 0.510 0.791
5 Nd 0.755 0.510 0.209
6 Nd 0.882 0.764 0.500
7 Nd 0.961 0.921 0.000
8 Er 0.609 0.219 0.500
9 Er 0.553 0.107 0.000
10 Er 0.104 0.208 0.697
11 Er 0.104 0.208 0.303

Output
Its density is 7.83 g/cm3. The density of states at the Fermi level comes out at 16.8 states/eV/cell. Its space group is Amm2, No. 38.


Most stable structure: entry one


Entry one
Entry from the Alexandria database: a relaxed structure of TbNdEr (PBE-GGA).

Unit cell a=3.585 b=3.585 c=8.009 alpha=102.93 beta=102.93 gamma=90.00
Fractional positions:
1 Nd 0.999 0.999 0.999
2 Tb 0.669 0.669 0.338
3 Er 0.332 0.332 0.664

Output
Its density is 8.00 g/cm3. The density of states at the Fermi level comes out at 4.1 states/eV/cell. Its space group is I4mm, No. 107.


Entry two
Entry from the Alexandria database: a relaxed structure of TbNdEr (PBE-GGA).

Unit cell a=5.192 b=5.192 c=5.943 alpha=90.00 beta=90.00 gamma=120.00
Fractional positions:
1 Tb 0.333 0.667 0.500
2 Nd 0.667 0.333 0.000
3 Er 0.667 0.333 0.500

Output
Its density is 5.63 g/cm3. The density of states at the Fermi level comes out at 5.4 states/eV/cell. Its space group is P-6m2, No. 187.


Most stable structure: entry one